Mn2TePbO8: optimized geometry, GGA+U.

abc: 4.893 4.891 6.259
angles: 90.00 90.00 94.82
Fractional positions:
1 O 0.186 0.813 0.224
2 Mn 0.500 0.500 0.752
3 O 0.186 0.813 0.776
4 O 0.676 0.677 0.500
5 O 0.304 0.304 0.000
6 O 0.324 0.323 0.500
7 O 0.696 0.696 0.000
8 O 0.814 0.187 0.776
9 Mn 0.500 0.500 0.248
10 Te 0.000 0.000 0.000
11 O 0.814 0.187 0.224
12 Pb 0.000 0.000 0.500

Properties
raw total energy: -75.5 eV per cell
space-group type: P2/m
total magnetic moment: 8.00 μB per cell
crystal system: monoclinic
calculated volume: 12.44 Å³ per atom